Material: MnCu2
Method: DFT, GGA-PBE
State: optimized geometry

As for the density of states at the Fermi level: 17.18 states/eV per cell. Its total energy is -0.2068 Ha/atom. The energy of formation comes out at 46 kJ/mol of formula units. For the total magnetization, the calculation gives 30.21 μB/cell.

It has space group I4_1/amd (No. 141, origin choice 2), with a = 3.6796 Å, b = 3.6796 Å, c = 22.6463 Å, α = 90.00°, β = 90.00° and γ = 90.00°. Symmetry generates all atoms from Mn at (0.0000, 0.2500, 0.2936), Cu at (0.0000, 0.2500, 0.1262) and Cu at (0.0000, 0.2500, 0.7912).

=====

Material: Mn2Cu
Method: DFT, GGA-PBE
State: optimized geometry

As for the density of states at the Fermi level: 7.78 states/eV per cell. Its total energy is -0.2688 Ha/atom. The energy of formation comes out at 47 kJ/mol of formula units. For the total magnetization, the calculation gives 0.37 μB/cell.

It has space group P-62m (No. 189), with a = 7.1076 Å, b = 7.1076 Å, c = 2.5711 Å, α = 90.00°, β = 90.00° and γ = 120.00°. Symmetry generates all atoms from Mn at (0.0000, 0.3058, 0.0000), Mn at (0.0000, 0.6403, 0.5000), Cu at (0.0000, 0.0000, 0.5000) and Cu at (0.3333, 0.6667, 0.0000).

=====

Material: MnCu2
Method: DFT, GGA-PBE
State: optimized geometry

As for the density of states at the Fermi level: 2.35 states/eV per cell. Its total energy is -0.1923 Ha/atom. The energy of formation comes out at 160 kJ/mol of formula units. For the total magnetization, the calculation gives 3.80 μB/cell.

It has space group P4/mmm (No. 123), with a = 4.1646 Å, b = 4.1646 Å, c = 2.7211 Å, α = 90.00°, β = 90.00° and γ = 90.00°. Symmetry generates all atoms from Mn at (0.0000, 0.0000, 0.0000) and Cu at (0.0000, 0.5000, 0.5000).

=====

Material: Mn2Cu
Method: DFT, GGA-PBE
State: optimized geometry

As for the density of states at the Fermi level: 12.57 states/eV per cell. Its total energy is -0.2704 Ha/atom. The energy of formation comes out at 35 kJ/mol of formula units. For the total magnetization, the calculation gives 1.48 μB/cell.

It has space group Cmcm (No. 63), with a = 2.5889 Å, b = 13.4573 Å, c = 4.0942 Å, α = 90.00°, β = 90.00° and γ = 90.00°. Symmetry generates all atoms from Mn at (0.0000, 0.0578, 0.2500), Mn at (0.0000, 0.3981, 0.2500) and Cu at (0.0000, 0.2742, 0.7500).

=====

Material: MnCu2
Method: DFT, GGA-PBE
State: optimized geometry

As for the density of states at the Fermi level: 4.74 states/eV per cell. Its total energy is -0.1976 Ha/atom. The energy of formation comes out at 119 kJ/mol of formula units. For the total magnetization, the calculation gives 11.79 μB/cell.

It has space group P-62m (No. 189), with a = 6.0606 Å, b = 6.0606 Å, c = 3.9605 Å, α = 90.00°, β = 90.00° and γ = 120.00°. Symmetry generates all atoms from Mn at (0.0000, 0.0000, 0.0000), Mn at (0.3333, 0.6667, 0.5000), Cu at (0.0000, 0.2379, 0.5000) and Cu at (0.0000, 0.5419, 0.0000).

=====

Material: Mn2Cu
Method: DFT, GGA-PBE
State: optimized geometry

As for the density of states at the Fermi level: 18.01 states/eV per cell. Its total energy is -0.2337 Ha/atom. The energy of formation comes out at 324 kJ/mol of formula units. For the total magnetization, the calculation gives 5.14 μB/cell.

It has space group Pa-3 (No. 205), with a = 5.4864 Å, b = 5.4864 Å, c = 5.4864 Å, α = 90.00°, β = 90.00° and γ = 90.00°. Symmetry generates all atoms from Mn at (0.1014, 0.1014, 0.1014) and Cu at (0.0000, 0.0000, 0.5000).

=====

Material: MnCu2
Method: DFT, GGA-PBE
State: optimized geometry

As for the density of states at the Fermi level: 4.83 states/eV per cell. Its total energy is -0.1818 Ha/atom. The energy of formation comes out at 243 kJ/mol of formula units. For the total magnetization, the calculation gives 16.24 μB/cell.

It has space group Pa-3 (No. 205), with a = 5.7776 Å, b = 5.7776 Å, c = 5.7776 Å, α = 90.00°, β = 90.00° and γ = 90.00°. Symmetry generates all atoms from Mn at (0.0000, 0.0000, 0.0000) and Cu at (0.1201, 0.6201, 0.8799).

=====

Material: Mn3Cu
Method: DFT, GGA-PBE
State: optimized geometry

As for the density of states at the Fermi level: 3.53 states/eV per cell. Its total energy is -0.2396 Ha/atom. The energy of formation comes out at 534 kJ/mol of formula units. For the total magnetization, the calculation gives 13.29 μB/cell.

It has space group Pm-3m (No. 221), with a = 4.7124 Å, b = 4.7124 Å, c = 4.7124 Å, α = 90.00°, β = 90.00° and γ = 90.00°. Symmetry generates all atoms from Mn at (0.0000, 0.0000, 0.5000) and Cu at (0.0000, 0.0000, 0.0000).

=====

Material: Mn3Cu
Method: DFT, GGA-PBE
State: optimized geometry

As for the density of states at the Fermi level: 4.77 states/eV per cell. Its total energy is -0.2850 Ha/atom. The energy of formation comes out at 56 kJ/mol of formula units. For the total magnetization, the calculation gives 3.51 μB/cell.

It has space group P4/mmm (No. 123), with a = 2.6138 Å, b = 2.6138 Å, c = 7.0452 Å, α = 90.00°, β = 90.00° and γ = 90.00°. Symmetry generates all atoms from Mn at (0.0000, 0.0000, 0.0000), Mn at (0.5000, 0.5000, 0.2382) and Cu at (0.0000, 0.0000, 0.5000).

=====

Material: Mn2Cu
Method: DFT, GGA-PBE
State: optimized geometry

As for the density of states at the Fermi level: 26.75 states/eV per cell. Its total energy is -0.2690 Ha/atom. The energy of formation comes out at 46 kJ/mol of formula units. For the total magnetization, the calculation gives 7.33 μB/cell.

It has space group I4_1/amd (No. 141, origin choice 2), with a = 3.6584 Å, b = 3.6584 Å, c = 21.8112 Å, α = 90.00°, β = 90.00° and γ = 90.00°. Symmetry generates all atoms from Mn at (0.0000, 0.2500, 0.1249), Mn at (0.0000, 0.2500, 0.2971) and Cu at (0.0000, 0.2500, 0.7908).

=====

Material: MnCu4
Method: DFT, GGA-PBE
State: optimized geometry

As for the density of states at the Fermi level: 3.93 states/eV per cell. Its total energy is -0.1773 Ha/atom. The energy of formation comes out at 138 kJ/mol of formula units. For the total magnetization, the calculation gives 8.38 μB/cell.

It has space group I4/mmm (No. 139), with a = 3.3899 Å, b = 3.3899 Å, c = 11.9465 Å, α = 90.00°, β = 90.00° and γ = 90.00°. Symmetry generates all atoms from Mn at (0.0000, 0.0000, 0.0000), Cu at (0.0000, 0.0000, 0.4011) and Cu at (0.0000, 0.5000, 0.2500).

=====

Material: MnCu2
Method: DFT, GGA-PBE
State: optimized geometry

As for the density of states at the Fermi level: 7.01 states/eV per cell. Its total energy is -0.2070 Ha/atom. The energy of formation comes out at 45 kJ/mol of formula units. For the total magnetization, the calculation gives 14.28 μB/cell.

It has space group C2/m (No. 12), with a = 9.5136 Å, b = 2.7325 Å, c = 6.1528 Å, α = 90.00°, β = 107.53° and γ = 90.00°. Symmetry generates all atoms from Mn at (0.1809, 0.0000, 0.1279), Cu at (0.0285, 0.5000, 0.7859) and Cu at (0.1453, 0.0000, 0.5364).

=====

Material: Mn5Cu
Method: DFT, GGA-PBE
State: optimized geometry

As for the density of states at the Fermi level: 7.60 states/eV per cell. Its total energy is -0.2878 Ha/atom. The energy of formation comes out at 285 kJ/mol of formula units. For the total magnetization, the calculation gives 1.43 μB/cell.

It has space group P6/mmm (No. 191), with a = 4.5472 Å, b = 4.5472 Å, c = 4.0590 Å, α = 90.00°, β = 90.00° and γ = 120.00°. Symmetry generates all atoms from Mn at (0.0000, 0.5000, 0.0000), Mn at (0.3333, 0.6667, 0.5000) and Cu at (0.0000, 0.0000, 0.5000).

=====

Material: Mn3Cu
Method: DFT, GGA-PBE
State: optimized geometry

As for the density of states at the Fermi level: 9.74 states/eV per cell. Its total energy is -0.2839 Ha/atom. The energy of formation comes out at 67 kJ/mol of formula units. For the total magnetization, the calculation gives 5.28 μB/cell.

It has space group Cmmm (No. 65), with a = 5.1651 Å, b = 7.1388 Å, c = 2.6185 Å, α = 90.00°, β = 90.00° and γ = 90.00°. Symmetry generates all atoms from Mn at (0.0000, 0.0000, 0.0000), Mn at (0.2500, 0.2500, 0.5000) and Cu at (0.0000, 0.5000, 0.0000).

=====

Material: MnCu2
Method: DFT, GGA-PBE
State: optimized geometry

As for the density of states at the Fermi level: 2.76 states/eV per cell. Its total energy is -0.2065 Ha/atom. The energy of formation comes out at 49 kJ/mol of formula units. For the total magnetization, the calculation gives 3.78 μB/cell.

It has space group P6/mmm (No. 191), with a = 4.1521 Å, b = 4.1521 Å, c = 2.5927 Å, α = 90.00°, β = 90.00° and γ = 120.00°. Symmetry generates all atoms from Mn at (0.0000, 0.0000, 0.0000) and Cu at (0.3333, 0.6667, 0.5000).

=====

Material: MnCu3
Method: DFT, GGA-PBE
State: optimized geometry

As for the density of states at the Fermi level: 4.13 states/eV per cell. Its total energy is -0.1926 Ha/atom. The energy of formation comes out at 48 kJ/mol of formula units. For the total magnetization, the calculation gives 7.54 μB/cell.

It has space group Cmmm (No. 65), with a = 5.2277 Å, b = 7.2681 Å, c = 2.6373 Å, α = 90.00°, β = 90.00° and γ = 90.00°. Symmetry generates all atoms from Mn at (0.0000, 0.0000, 0.0000), Cu at (0.0000, 0.5000, 0.0000) and Cu at (0.2500, 0.2500, 0.5000).

=====

Material: MnCu2
Method: DFT, GGA-PBE
State: optimized geometry

As for the density of states at the Fermi level: 10.24 states/eV per cell. Its total energy is -0.2034 Ha/atom. The energy of formation comes out at 73 kJ/mol of formula units. For the total magnetization, the calculation gives 0.00 μB/cell.

It has space group Cmcm (No. 63), with a = 3.8987 Å, b = 10.8411 Å, c = 3.3427 Å, α = 90.00°, β = 90.00° and γ = 90.00°. Symmetry generates all atoms from Mn at (0.0000, 0.0632, 0.2500), Cu at (0.0000, 0.2485, 0.7500) and Cu at (0.0000, 0.4144, 0.2500).

=====

Material: Mn2Cu
Method: DFT, GGA-PBE
State: optimized geometry

As for the density of states at the Fermi level: 12.82 states/eV per cell. Its total energy is -0.2667 Ha/atom. The energy of formation comes out at 64 kJ/mol of formula units. For the total magnetization, the calculation gives 6.96 μB/cell.

It has space group Cm (No. 8), with a = 9.5914 Å, b = 2.5623 Å, c = 6.0694 Å, α = 90.00°, β = 106.67° and γ = 90.00°. Symmetry generates all atoms from Mn at (0.0000, 0.0000, 0.0000), Mn at (0.0523, 0.0000, 0.6001), Mn at (0.2168, 0.5000, 0.9391), Mn at (0.3889, 0.0000, 0.2566), Cu at (0.1715, 0.5000, 0.3332) and Cu at (0.3343, 0.0000, 0.6615).

=====

Material: Mn5Cu
Method: DFT, GGA-PBE
State: optimized geometry

As for the density of states at the Fermi level: 34.44 states/eV per cell. Its total energy is -0.2970 Ha/atom. The energy of formation comes out at 140 kJ/mol of formula units. For the total magnetization, the calculation gives 2.98 μB/cell.

It has space group F-43m (No. 216), with a = 6.5567 Å, b = 6.5567 Å, c = 6.5567 Å, α = 90.00°, β = 90.00° and γ = 90.00°. Symmetry generates all atoms from Mn at (0.0000, 0.0000, 0.0000), Mn at (0.1243, 0.1243, 0.3757) and Cu at (0.2500, 0.2500, 0.7500).

=====

Material: Mn2Cu
Method: DFT, GGA-PBE
State: optimized geometry

As for the density of states at the Fermi level: 14.11 states/eV per cell. Its total energy is -0.2574 Ha/atom. The energy of formation comes out at 137 kJ/mol of formula units. For the total magnetization, the calculation gives 0.00 μB/cell.

It has space group I4_1/amd (No. 141, origin choice 2), with a = 2.6059 Å, b = 2.6059 Å, c = 20.9950 Å, α = 90.00°, β = 90.00° and γ = 90.00°. Symmetry generates all atoms from Mn at (0.0000, 0.2500, 0.2888) and Cu at (0.0000, 0.2500, 0.8750).

=====

Material: MnCu3
Method: DFT, GGA-PBE
State: optimized geometry

As for the density of states at the Fermi level: 4.96 states/eV per cell. Its total energy is -0.1936 Ha/atom. The energy of formation comes out at 37 kJ/mol of formula units. For the total magnetization, the calculation gives 7.44 μB/cell.

It has space group P6_3/mmc (No. 194), with a = 5.2120 Å, b = 5.2120 Å, c = 4.2539 Å, α = 90.00°, β = 90.00° and γ = 120.00°. Symmetry generates all atoms from Mn at (0.3333, 0.6667, 0.2500) and Cu at (0.1656, 0.3313, 0.7500).

=====

Material: MnCu2
Method: DFT, GGA-PBE
State: optimized geometry

As for the density of states at the Fermi level: 7.38 states/eV per cell. Its total energy is -0.2062 Ha/atom. The energy of formation comes out at 51 kJ/mol of formula units. For the total magnetization, the calculation gives 12.09 μB/cell.

It has space group Cm (No. 8), with a = 9.6953 Å, b = 2.5904 Å, c = 6.1398 Å, α = 90.00°, β = 106.50° and γ = 90.00°. Symmetry generates all atoms from Mn at (0.0000, 0.0000, 0.0000), Mn at (0.1605, 0.5000, 0.3231), Cu at (0.1149, 0.5000, 0.7240), Cu at (0.2787, 0.0000, 0.0562), Cu at (0.3323, 0.0000, 0.6635) and Cu at (0.4431, 0.5000, 0.3938).

=====

Material: MnCu4
Method: DFT, GGA-PBE
State: optimized geometry

As for the density of states at the Fermi level: 2.65 states/eV per cell. Its total energy is -0.1434 Ha/atom. The energy of formation comes out at 583 kJ/mol of formula units. For the total magnetization, the calculation gives 4.24 μB/cell.

It has space group Pm-3m (No. 221), with a = 4.4749 Å, b = 4.4749 Å, c = 4.4749 Å, α = 90.00°, β = 90.00° and γ = 90.00°. Symmetry generates all atoms from Mn at (0.0000, 0.0000, 0.0000), Cu at (0.0000, 0.0000, 0.5000) and Cu at (0.5000, 0.5000, 0.5000).

=====

Material: MnCu2
Method: DFT, GGA-PBE
State: optimized geometry

As for the density of states at the Fermi level: 8.14 states/eV per cell. Its total energy is -0.2059 Ha/atom. The energy of formation comes out at 54 kJ/mol of formula units. For the total magnetization, the calculation gives 11.04 μB/cell.

It has space group Cmcm (No. 63), with a = 2.5736 Å, b = 13.4708 Å, c = 4.2235 Å, α = 90.00°, β = 90.00° and γ = 90.00°. Symmetry generates all atoms from Mn at (0.0000, 0.2250, 0.2500), Cu at (0.0000, 0.1083, 0.7500) and Cu at (0.0000, 0.4436, 0.7500).

=====

Material: Mn3Cu
Method: DFT, GGA-PBE
State: optimized geometry

As for the density of states at the Fermi level: 10.79 states/eV per cell. Its total energy is -0.2847 Ha/atom. The energy of formation comes out at 59 kJ/mol of formula units. For the total magnetization, the calculation gives 3.25 μB/cell.

It has space group R-3m (No. 166, hexagonal axes), with a = 2.4914 Å, b = 2.4914 Å, c = 25.0214 Å, α = 90.00°, β = 90.00° and γ = 120.00°. Symmetry generates all atoms from Mn at (0.0000, 0.0000, 0.0000), Mn at (0.0000, 0.0000, 0.2537) and Cu at (0.0000, 0.0000, 0.5000).

=====

Material: Mn8Cu
Method: DFT, GGA-PBE
State: optimized geometry

As for the density of states at the Fermi level: 25.02 states/eV per cell. Its total energy is -0.3102 Ha/atom. The energy of formation comes out at 142 kJ/mol of formula units. For the total magnetization, the calculation gives 0.00 μB/cell.

It has space group I4/mmm (No. 139), with a = 7.4285 Å, b = 7.4285 Å, c = 3.5506 Å, α = 90.00°, β = 90.00° and γ = 90.00°. Symmetry generates all atoms from Mn at (0.0000, 0.3380, 0.0000), Mn at (0.1712, 0.1712, 0.5000) and Cu at (0.0000, 0.0000, 0.0000).